No. 1
{
  "formula": "ScCdBi2",
  "functional": "PBE",
  "state": "relaxed",
  "cell": [[2.691, 1.554, 4.395], [-2.691, 1.554, 4.395], [0.000, -3.107, 4.395]],
  "species": ["Bi", "Bi", "Cd", "Sc"],
  "fractional_positions": [[0.500, 0.500, 0.500], [0.750, 0.750, 0.750], [0.250, 0.250, 0.250], [0.000, 0.000, 0.000]],
  "total_magnetization_mub_per_cell": 0.00,
  "total_energy_ev_per_cell": -15.360
}

***

No. 2
{
  "formula": "LiLaCoAs",
  "functional": "PBE",
  "state": "relaxed",
  "cell": [[0.000, 3.440, 3.440], [3.440, 0.000, 3.440], [3.440, 3.440, 0.000]],
  "species": ["As", "Co", "La", "Li"],
  "fractional_positions": [[0.500, 0.500, 0.500], [0.000, 0.000, 0.000], [0.250, 0.250, 0.250], [0.750, 0.750, 0.750]],
  "total_magnetization_mub_per_cell": 1.56,
  "e_above_lowest_polymorph_mev_per_atom": 219,
  "total_energy_ev_per_cell": -19.562
}

***

No. 3
{
  "formula": "PmZnAg",
  "functional": "PBE",
  "state": "relaxed",
  "cell": [[3.708, -2.888, -0.316], [1.682, -2.105, 3.864], [-0.570, -4.638, 0.592]],
  "species": ["Ag", "Pm", "Zn"],
  "fractional_positions": [[0.250, 0.250, 0.250], [0.750, 0.750, 0.750], [0.000, 0.000, 0.000]],
  "total_magnetization_mub_per_cell": 0.03,
  "e_above_lowest_polymorph_mev_per_atom": 234,
  "total_energy_ev_per_cell": -9.135,
  "e_form_mev_per_atom": -100
}

***

No. 4
{
  "formula": "Pu3Ni2",
  "functional": "PBE",
  "state": "relaxed",
  "cell": [[3.738, -2.927, 3.922], [1.207, 5.808, -1.650], [-2.670, -0.777, 6.799]],
  "species": ["Ni", "Ni", "Ni", "Ni", "Pu", "Pu", "Pu", "Pu", "Pu", "Pu"],
  "fractional_positions": [[0.311, 0.689, 0.068], [0.189, 0.811, 0.432], [0.811, 0.189, 0.568], [0.689, 0.311, 0.932], [0.250, 0.167, 0.250], [0.833, 0.333, 0.250], [0.667, 0.750, 0.250], [0.333, 0.250, 0.750], [0.167, 0.667, 0.750], [0.750, 0.833, 0.750]],
  "total_magnetization_mub_per_cell": 32.78,
  "total_energy_ev_per_cell": -107.171,
  "e_form_mev_per_atom": -14
}

***

No. 5
{
  "formula": "Tb2PbS3",
  "functional": "PBE",
  "state": "relaxed",
  "cell": [[3.886, 0.000, 0.000], [-1.943, 3.366, 0.000], [0.000, 0.000, 11.540]],
  "species": ["Pb", "S", "S", "S", "Tb", "Tb"],
  "fractional_positions": [[0.000, 0.000, 0.500], [0.000, 0.000, 0.000], [0.667, 0.333, 0.276], [0.333, 0.667, 0.724], [0.333, 0.667, 0.146], [0.667, 0.333, 0.854]],
  "total_magnetization_mub_per_cell": 0.01,
  "total_energy_ev_per_cell": -34.548
}

***

No. 6
{
  "formula": "SmMoAu",
  "functional": "PBE",
  "state": "relaxed",
  "cell": [[0.000, 3.367, 3.367], [3.367, 0.000, 3.367], [3.367, 3.367, 0.000]],
  "species": ["Au", "Mo", "Sm"],
  "fractional_positions": [[0.250, 0.250, 0.250], [0.750, 0.750, 0.750], [0.000, 0.000, 0.000]],
  "total_magnetization_mub_per_cell": 3.01,
  "e_above_lowest_polymorph_mev_per_atom": 278,
  "total_energy_ev_per_cell": -16.031,
  "e_form_mev_per_atom": 932
}

***

No. 7
{
  "formula": "YTmS4",
  "functional": "PBE",
  "state": "relaxed",
  "cell": [[4.733, -2.055, 0.000], [4.733, 2.055, 0.000], [-3.003, 0.000, 7.639]],
  "species": ["S", "S", "S", "S", "Tm", "Y"],
  "fractional_positions": [[0.409, 0.409, 0.149], [0.363, 0.363, 0.386], [0.726, 0.726, 0.581], [0.559, 0.559, 0.876], [0.231, 0.231, 0.783], [0.713, 0.713, 0.226]],
  "total_magnetization_mub_per_cell": 0.00,
  "total_energy_ev_per_cell": -36.088
}

***

No. 8
{
  "formula": "Dy2Au",
  "functional": "PBE",
  "state": "relaxed",
  "cell": [[-2.772, 2.784, 3.007], [-2.771, 3.650, -1.864], [-4.929, -0.428, -0.077]],
  "species": ["Au", "Dy", "Dy"],
  "fractional_positions": [[0.000, 0.000, 0.000], [0.250, 0.250, 0.250], [0.750, 0.750, 0.750]],
  "total_magnetization_mub_per_cell": 0.11,
  "total_energy_ev_per_cell": -13.819,
  "e_form_mev_per_atom": -450
}

***

No. 9
{
  "formula": "Ho4ZnAs2",
  "functional": "PBE",
  "state": "relaxed",
  "cell": [[-2.544, 2.544, 7.537], [2.544, -2.544, 7.537], [2.544, 2.544, -7.537]],
  "species": ["As", "As", "Ho", "Ho", "Ho", "Ho", "Zn"],
  "fractional_positions": [[0.369, 0.369, 0.000], [0.631, 0.631, 0.000], [0.183, 0.183, 0.000], [0.817, 0.817, 0.000], [0.500, 0.000, 0.500], [0.000, 0.500, 0.500], [0.000, 0.000, 0.000]],
  "total_magnetization_mub_per_cell": 0.01,
  "total_energy_ev_per_cell": -31.622
}

***

No. 10
{
  "formula": "KLuNiSe3",
  "functional": "PBE",
  "state": "relaxed",
  "cell": [[-0.857, 6.771, -8.501], [-4.228, -0.176, 0.286], [0.117, 9.703, 7.716]],
  "species": ["K", "K", "K", "K", "Lu", "Lu", "Lu", "Lu", "Ni", "Ni", "Ni", "Ni", "Se", "Se", "Se", "Se", "Se", "Se", "Se", "Se", "Se", "Se", "Se", "Se"],
  "fractional_positions": [[0.831, 0.500, 0.007], [0.331, 0.500, 0.493], [0.669, 0.000, 0.507], [0.169, 0.000, 0.993], [0.491, 0.500, 0.169], [0.991, 0.500, 0.331], [0.009, 0.000, 0.669], [0.509, 0.000, 0.831], [0.734, 0.000, 0.220], [0.234, 0.000, 0.280], [0.766, 0.500, 0.720], [0.266, 0.500, 0.780], [0.609, 0.000, 0.058], [0.950, 0.000, 0.184], [0.224, 0.500, 0.203], [0.724, 0.500, 0.297], [0.450, 0.000, 0.316], [0.109, 0.000, 0.442], [0.891, 0.500, 0.558], [0.550, 0.500, 0.684], [0.276, 0.000, 0.703], [0.776, 0.000, 0.797], [0.050, 0.500, 0.816], [0.391, 0.500, 0.942]],
  "total_magnetization_mub_per_cell": 0.13,
  "total_energy_ev_per_cell": -112.954
}

***

No. 11
{
  "formula": "LaAg2BiS2O2",
  "functional": "PBE",
  "state": "relaxed",
  "cell": [[4.031, 0.000, 0.000], [0.000, 4.031, 0.000], [0.000, 0.000, 9.058]],
  "species": ["Ag", "Ag", "Bi", "La", "O", "O", "S", "S"],
  "fractional_positions": [[0.500, 0.000, 0.502], [0.000, 0.500, 0.502], [0.000, 0.000, 0.868], [0.500, 0.500, 0.142], [0.500, 0.000, 0.998], [0.000, 0.500, 0.998], [0.000, 0.000, 0.299], [0.500, 0.500, 0.691]],
  "total_magnetization_mub_per_cell": 0.01,
  "total_energy_ev_per_cell": -43.232
}

***

No. 12
{
  "formula": "NdTe2",
  "functional": "PBE",
  "state": "relaxed",
  "cell": [[0.000, 4.535, 4.535], [4.535, 0.000, 4.535], [4.535, 4.535, 0.000]],
  "species": ["Nd", "Nd", "Te", "Te", "Te", "Te"],
  "fractional_positions": [[0.000, 0.000, 0.000], [0.250, 0.250, 0.250], [0.625, 0.625, 0.125], [0.625, 0.125, 0.625], [0.125, 0.625, 0.625], [0.625, 0.625, 0.625]],
  "total_magnetization_mub_per_cell": 1.34,
  "total_energy_ev_per_cell": -22.895
}

***

No. 13
{
  "formula": "NaSmGaSe3",
  "functional": "PBE",
  "state": "relaxed",
  "cell": [[2.262, -6.527, 0.000], [2.262, 6.527, 0.000], [0.000, 0.000, 11.177]],
  "species": ["Ga", "Ga", "Na", "Na", "Se", "Se", "Se", "Se", "Se", "Se", "Sm", "Sm"],
  "fractional_positions": [[0.013, 0.987, 0.250], [0.987, 0.013, 0.750], [0.748, 0.252, 0.250], [0.252, 0.748, 0.750], [0.136, 0.864, 0.075], [0.423, 0.577, 0.250], [0.136, 0.864, 0.425], [0.864, 0.136, 0.575], [0.577, 0.423, 0.750], [0.864, 0.136, 0.925], [0.500, 0.500, 0.000], [0.500, 0.500, 0.500]],
  "total_magnetization_mub_per_cell": 0.00,
  "total_energy_ev_per_cell": -52.653
}

***

No. 14
{
  "formula": "Nd3AlBr2Cl",
  "functional": "PBE",
  "state": "relaxed",
  "cell": [[5.955, 0.000, 0.000], [0.000, 5.955, 0.000], [0.000, 0.000, 6.031]],
  "species": ["Al", "Br", "Br", "Cl", "Nd", "Nd", "Nd"],
  "fractional_positions": [[0.500, 0.500, 0.500], [0.500, 0.000, 0.000], [0.000, 0.500, 0.000], [0.000, 0.000, 0.500], [0.500, 0.500, 0.000], [0.500, 0.000, 0.500], [0.000, 0.500, 0.500]],
  "total_magnetization_mub_per_cell": 0.00,
  "total_energy_ev_per_cell": -32.263
}

***

No. 15
{
  "formula": "Y4Hf2Zn3N3",
  "functional": "PBE",
  "state": "relaxed",
  "cell": [[-3.703, -4.598, -0.543], [2.078, -5.293, -1.679], [2.825, -0.027, 14.388]],
  "species": ["Hf", "Hf", "Hf", "Hf", "N", "N", "N", "N", "N", "N", "Y", "Y", "Y", "Y", "Y", "Y", "Y", "Y", "Zn", "Zn", "Zn", "Zn", "Zn", "Zn"],
  "fractional_positions": [[0.525, 0.347, 0.074], [0.653, 0.475, 0.426], [0.347, 0.525, 0.574], [0.475, 0.653, 0.926], [0.500, 0.000, 0.000], [0.809, 0.346, 0.000], [0.191, 0.654, 0.000], [0.346, 0.809, 0.500], [0.000, 0.500, 0.500], [0.654, 0.191, 0.500], [0.193, 0.044, 0.103], [0.880, 0.701, 0.103], [0.299, 0.120, 0.397], [0.956, 0.807, 0.397], [0.044, 0.193, 0.603], [0.701, 0.880, 0.603], [0.120, 0.299, 0.897], [0.807, 0.956, 0.897], [0.583, 0.669, 0.249], [0.838, 0.162, 0.250], [0.331, 0.417, 0.251], [0.669, 0.583, 0.749], [0.162, 0.838, 0.750], [0.417, 0.331, 0.751]],
  "total_magnetization_mub_per_cell": 0.01,
  "total_energy_ev_per_cell": -171.882
}

***

No. 16
{
  "formula": "GdPtNO",
  "functional": "PBE",
  "state": "relaxed",
  "cell": [[2.967, -2.967, 0.000], [2.967, 2.967, 0.000], [0.000, 0.000, 7.075]],
  "species": ["Gd", "Gd", "N", "N", "O", "O", "Pt", "Pt"],
  "fractional_positions": [[0.750, 0.750, 0.138], [0.250, 0.250, 0.861], [0.750, 0.750, 0.469], [0.250, 0.250, 0.536], [0.750, 0.250, 0.000], [0.250, 0.750, 0.000], [0.750, 0.250, 0.498], [0.250, 0.750, 0.498]],
  "total_magnetization_mub_per_cell": 0.00,
  "e_above_lowest_polymorph_mev_per_atom": 0,
  "total_energy_ev_per_cell": -58.524
}

***

No. 17
{
  "formula": "TmCuS2",
  "functional": "PBE",
  "state": "relaxed",
  "cell": [[-3.140, 5.477, -0.115], [-2.804, -1.736, -6.102], [-4.659, -3.582, 3.160]],
  "species": ["Cu", "Cu", "Cu", "Cu", "S", "S", "S", "S", "S", "S", "S", "S", "Tm", "Tm", "Tm", "Tm"],
  "fractional_positions": [[0.087, 0.657, 0.056], [0.913, 0.157, 0.444], [0.087, 0.843, 0.556], [0.913, 0.343, 0.944], [0.431, 0.727, 0.003], [0.907, 0.886, 0.216], [0.093, 0.386, 0.284], [0.569, 0.227, 0.497], [0.431, 0.773, 0.503], [0.907, 0.614, 0.716], [0.093, 0.114, 0.784], [0.569, 0.273, 0.997], [0.305, 0.047, 0.198], [0.695, 0.547, 0.302], [0.305, 0.453, 0.698], [0.695, 0.953, 0.802]],
  "total_magnetization_mub_per_cell": 0.00,
  "total_energy_ev_per_cell": -87.448
}

***

No. 18
{
  "formula": "DyHo2Al3CuSn2",
  "functional": "PBE",
  "state": "relaxed",
  "cell": [[-2.901, -2.300, 2.125], [5.223, -2.500, 4.422], [-3.602, 6.104, 1.689]],
  "species": ["Al", "Al", "Al", "Cu", "Dy", "Ho", "Ho", "Sn", "Sn"],
  "fractional_positions": [[0.500, 0.777, 0.000], [0.500, 0.224, 0.224], [0.500, 0.000, 0.777], [0.000, 0.001, 0.001], [0.000, 0.613, 0.613], [0.000, 0.000, 0.386], [0.000, 0.386, 0.000], [0.500, 0.667, 0.333], [0.500, 0.333, 0.667]],
  "total_magnetization_mub_per_cell": 0.00,
  "total_energy_ev_per_cell": -41.629
}

***

No. 19
{
  "formula": "TbErTlCo2",
  "functional": "PBE",
  "state": "relaxed",
  "cell": [[-3.581, 0.664, 1.092], [1.902, -1.202, 6.970], [2.431, 2.554, 6.419]],
  "species": ["Co", "Co", "Er", "Tb", "Tl"],
  "fractional_positions": [[0.000, 0.207, 0.207], [0.000, 0.795, 0.795], [0.500, 0.359, 0.359], [0.500, 0.640, 0.640], [0.000, 0.999, 0.999]],
  "total_magnetization_mub_per_cell": 1.37,
  "total_energy_ev_per_cell": -27.237
}

***

No. 20
{
  "formula": "Nd3Si4Ni",
  "functional": "PBE",
  "state": "relaxed",
  "cell": [[-2.913, -1.085, 4.921], [3.332, -0.290, 1.908], [0.551, 7.769, 0.218]],
  "species": ["Nd", "Nd", "Nd", "Ni", "Si", "Si", "Si", "Si"],
  "fractional_positions": [[0.344, 0.500, 0.193], [0.872, 0.000, 0.332], [0.209, 0.500, 0.726], [0.706, 0.000, 0.749], [0.403, 0.000, 0.493], [0.680, 0.500, 0.564], [0.760, 0.500, 0.969], [0.027, 0.000, 0.974]],
  "total_magnetization_mub_per_cell": 0.00,
  "total_energy_ev_per_cell": -46.367
}